(1)
AcTcN: optimized geometry, GGA-PBE.

a = 3.557 Å, b = 3.545 Å, c = 10.404 Å
α = 80.19°, β = 90.00°, γ = 90.00°
Element x y z (fractional)
Ac 0.250 0.105 0.790
Ac 0.750 0.895 0.210
N 0.250 0.367 0.266
N 0.750 0.633 0.734
Tc 0.750 0.729 0.541
Tc 0.250 0.271 0.459

Summary:
* relative energy among the computed polymorphs: 0.00 eV per formula unit

(2)
AcTcN3: optimized geometry, GGA-PBE.

a = 6.555 Å, b = 7.866 Å, c = 7.866 Å
α = 77.43°, β = 71.46°, γ = 71.46°
Element x y z (fractional)
Ac 0.250 0.962 0.038
Ac 0.750 0.038 0.962
Ac 0.250 0.361 0.639
Ac 0.750 0.639 0.361
Tc 0.711 0.465 0.901
Tc 0.789 0.099 0.535
Tc 0.289 0.535 0.099
Tc 0.211 0.901 0.465
N 0.531 0.644 0.072
N 0.969 0.928 0.356
N 0.469 0.356 0.928
N 0.031 0.072 0.644
N 0.938 0.280 0.961
N 0.562 0.039 0.720
N 0.062 0.720 0.039
N 0.438 0.961 0.280
N 0.320 0.680 0.560
N 0.180 0.440 0.320
N 0.680 0.320 0.440
N 0.820 0.560 0.680

(3)
AcTc2N6: optimized geometry, GGA-PBE.

a = 5.342 Å, b = 5.342 Å, c = 4.991 Å
α = 90.00°, β = 90.00°, γ = 120.00°
Element x y z (fractional)
Ac 0.000 0.000 0.000
Tc 0.333 0.667 0.500
Tc 0.667 0.333 0.500
N 0.557 0.000 0.262
N 0.443 0.443 0.262
N 0.000 0.557 0.262
N 0.557 0.557 0.738
N 0.000 0.443 0.738
N 0.443 0.000 0.738

(4)
Ac3Tc2N6: optimized geometry, GGA-PBE.

a = 4.005 Å, b = 4.005 Å, c = 10.848 Å
α = 100.64°, β = 100.64°, γ = 90.00°
Element x y z (fractional)
Ac 0.000 0.000 0.000
Ac 0.817 0.817 0.634
Ac 0.183 0.183 0.366
Tc 0.405 0.405 0.809
Tc 0.595 0.595 0.191
N 0.088 0.588 0.177
N 0.588 0.088 0.177
N 0.912 0.412 0.823
N 0.412 0.912 0.823
N 0.695 0.695 0.390
N 0.305 0.305 0.610

(5)
AcTcN: optimized geometry, GGA-PBE.

a = 3.122 Å, b = 3.122 Å, c = 5.610 Å
α = 106.16°, β = 106.16°, γ = 90.00°
Element x y z (fractional)
Ac 0.002 0.002 0.004
Tc 0.280 0.280 0.560
N 0.718 0.718 0.436

Summary:
* relative energy among the computed polymorphs: 2.46 eV per formula unit

(6)
AcTc2N5: optimized geometry, GGA-PBE.

a = 5.765 Å, b = 5.765 Å, c = 7.001 Å
α = 114.31°, β = 114.31°, γ = 90.00°
Element x y z (fractional)
Ac 0.750 0.750 0.500
Ac 0.250 0.250 0.500
Tc 0.153 0.347 0.000
Tc 0.653 0.153 0.000
Tc 0.347 0.847 0.000
Tc 0.847 0.653 0.000
N 0.529 0.745 0.774
N 0.755 0.971 0.226
N 0.000 0.000 0.000
N 0.500 0.500 0.000
N 0.245 0.029 0.774
N 0.745 0.245 0.774
N 0.029 0.529 0.774
N 0.255 0.755 0.226
N 0.971 0.471 0.226
N 0.471 0.255 0.226

(7)
Ac2TcN3: optimized geometry, GGA-PBE.

a = 3.867 Å, b = 3.969 Å, c = 7.280 Å
α = 105.82°, β = 105.40°, γ = 90.00°
Element x y z (fractional)
Ac 0.646 0.646 0.292
Ac 0.354 0.354 0.708
Tc 0.000 0.000 0.000
N 0.000 0.500 0.000
N 0.844 0.844 0.688
N 0.156 0.156 0.312

(8)
Ac4TcN4: optimized geometry, GGA-PBE.

a = 5.610 Å, b = 6.297 Å, c = 6.297 Å
α = 78.56°, β = 63.55°, γ = 63.55°
Element x y z (fractional)
Ac 0.799 0.591 0.811
Ac 0.201 0.409 0.189
Ac 0.610 0.189 0.591
Ac 0.390 0.811 0.409
Tc 0.000 0.000 0.000
N 0.730 0.353 0.188
N 0.270 0.647 0.812
N 0.917 0.812 0.353
N 0.083 0.188 0.647

(9)
Ac2TcN5: optimized geometry, GGA-PBE.

a = 5.699 Å, b = 5.699 Å, c = 5.699 Å
α = 94.77°, β = 117.28°, γ = 117.28°
Element x y z (fractional)
Ac 0.500 0.271 0.771
Ac 0.500 0.771 0.271
Tc 0.000 0.034 0.034
N 0.550 0.746 0.746
N 0.000 0.746 0.196
N 0.000 0.196 0.746
N 0.450 0.196 0.196
N 0.000 0.261 0.261

(10)
Ac4TcN5: optimized geometry, GGA-PBE.

a = 5.686 Å, b = 6.418 Å, c = 6.418 Å
α = 78.68°, β = 63.71°, γ = 63.71°
Element x y z (fractional)
Ac 0.373 0.417 0.809
Ac 0.790 0.809 0.583
Ac 0.182 0.191 0.417
Ac 0.599 0.583 0.191
Tc 0.072 0.000 0.000
N 0.935 0.348 0.828
N 0.282 0.828 0.652
N 0.763 0.172 0.348
N 0.111 0.652 0.172
N 0.403 0.000 0.000

(11)
AcTcN2: optimized geometry, GGA-PBE.

a = 2.986 Å, b = 2.986 Å, c = 5.968 Å
α = 90.00°, β = 90.00°, γ = 90.00°
Element x y z (fractional)
Ac 0.500 0.500 0.500
Tc 0.500 0.500 0.000
N 0.000 0.000 0.793
N 0.000 0.000 0.207

Summary:
* relative energy among the computed polymorphs: 5.46 eV per formula unit

(12)
AcTcN2: optimized geometry, GGA-PBE.

a = 3.805 Å, b = 5.683 Å, c = 5.683 Å
α = 90.00°, β = 90.00°, γ = 90.00°
Element x y z (fractional)
Ac 0.000 0.500 0.500
Ac 0.000 0.000 0.000
Tc 0.500 0.500 0.000
Tc 0.500 0.000 0.500
N 0.500 0.250 0.750
N 0.500 0.250 0.250
N 0.500 0.750 0.750
N 0.500 0.750 0.250

Summary:
* relative energy among the computed polymorphs: 0.00 eV per formula unit

(13)
Ac2TcN6: optimized geometry, GGA-PBE.

a = 5.628 Å, b = 5.628 Å, c = 5.628 Å
α = 60.00°, β = 60.00°, γ = 60.00°
Element x y z (fractional)
Ac 0.250 0.250 0.250
Ac 0.750 0.750 0.750
Tc 0.000 0.000 0.000
N 0.247 0.753 0.753
N 0.247 0.753 0.247
N 0.753 0.247 0.753
N 0.753 0.247 0.247
N 0.753 0.753 0.247
N 0.247 0.247 0.753

(14)
AcTcN2: optimized geometry, GGA-PBE.

a = 3.452 Å, b = 3.898 Å, c = 6.428 Å
α = 127.33°, β = 105.53°, γ = 90.00°
Element x y z (fractional)
Ac 0.235 0.724 0.259
Tc 0.493 0.734 0.768
N 0.884 0.519 0.554
N 0.523 0.297 0.832

Summary:
* relative energy among the computed polymorphs: 1.55 eV per formula unit

(15)
Ac3TcN5: optimized geometry, GGA-PBE.

a = 7.182 Å, b = 7.182 Å, c = 7.832 Å
α = 117.29°, β = 117.29°, γ = 90.00°
Element x y z (fractional)
Ac 0.677 0.177 0.000
Ac 0.323 0.823 0.000
Ac 0.823 0.677 0.000
Ac 0.177 0.323 0.000
Ac 0.250 0.250 0.500
Ac 0.750 0.750 0.500
Tc 0.750 0.250 0.500
Tc 0.250 0.750 0.500
N 0.990 0.490 0.692
N 0.702 0.202 0.692
N 0.202 0.990 0.692
N 0.490 0.702 0.692
N 0.010 0.510 0.308
N 0.298 0.798 0.308
N 0.798 0.010 0.308
N 0.510 0.298 0.308
N 0.500 0.500 0.000
N 0.000 0.000 0.000

(16)
Ac2Tc2N7: optimized geometry, GGA-PBE.

a = 5.964 Å, b = 4.484 Å, c = 5.964 Å
α = 91.23°, β = 87.89°, γ = 88.77°
Element x y z (fractional)
Ac 0.756 0.500 0.756
Ac 0.244 0.500 0.244
Tc 0.767 0.983 0.233
Tc 0.233 0.017 0.767
N 0.039 0.139 0.517
N 0.517 0.861 0.039
N 0.961 0.861 0.483
N 0.483 0.139 0.961
N 0.000 0.000 0.000
N 0.478 0.859 0.522
N 0.522 0.141 0.478

(17)
AcTcN: optimized geometry, GGA-PBE.

a = 5.293 Å, b = 3.491 Å, c = 3.491 Å
α = 120.00°, β = 90.00°, γ = 90.00°
Element x y z (fractional)
Ac 0.630 0.667 0.333
Tc 0.159 0.000 0.000
N 0.210 0.333 0.667

Summary:
* relative energy among the computed polymorphs: 0.91 eV per formula unit

(18)
Ac2TcN7: optimized geometry, GGA-PBE.

a = 5.618 Å, b = 5.618 Å, c = 5.618 Å
α = 60.00°, β = 60.00°, γ = 60.00°
Element x y z (fractional)
Ac 0.250 0.250 0.250
Ac 0.750 0.750 0.750
Tc 0.000 0.000 0.000
N 0.500 0.500 0.500
N 0.250 0.750 0.750
N 0.250 0.750 0.250
N 0.750 0.250 0.750
N 0.750 0.750 0.250
N 0.250 0.250 0.750
N 0.750 0.250 0.250

(19)
AcTcN3: optimized geometry, GGA-PBE.

a = 4.012 Å, b = 4.012 Å, c = 4.012 Å
α = 90.00°, β = 90.00°, γ = 90.00°
Element x y z (fractional)
Ac 0.500 0.500 0.500
Tc 0.000 0.000 0.000
N 0.000 0.500 0.000
N 0.000 0.000 0.500
N 0.500 0.000 0.000

(20)
Ac12Tc3N5: optimized geometry, GGA-PBE.

a = 14.453 Å, b = 14.453 Å, c = 14.453 Å
α = 109.47°, β = 109.47°, γ = 109.47°
Element x y z (fractional)
Tc 0.750 0.375 0.125
Tc 0.875 0.750 0.125
Tc 0.375 0.750 0.625
Tc 0.250 0.125 0.375
Tc 0.875 0.125 0.250
Tc 0.375 0.625 0.250
Tc 0.625 0.375 0.750
Tc 0.125 0.875 0.750
Tc 0.750 0.875 0.625
Tc 0.625 0.250 0.375
Tc 0.125 0.250 0.875
Tc 0.250 0.625 0.875
N 0.125 0.375 0.250
N 0.000 0.500 0.000
N 0.000 0.000 0.000
N 0.375 0.250 0.125
N 0.500 0.000 0.500
N 0.500 0.500 0.000
N 0.125 0.750 0.375
N 0.750 0.125 0.875
N 0.750 0.625 0.375
N 0.375 0.125 0.750
N 0.625 0.875 0.250
N 0.500 0.500 0.500
N 0.500 0.000 0.000
N 0.000 0.000 0.500
N 0.250 0.375 0.625
N 0.250 0.875 0.125
N 0.000 0.500 0.500
N 0.875 0.250 0.625
N 0.625 0.750 0.875
N 0.875 0.625 0.750
Ac 0.705 0.124 0.025
Ac 0.320 0.525 0.401
Ac 0.975 0.376 0.295
Ac 0.525 0.205 0.124
Ac 0.581 0.705 0.680
Ac 0.975 0.599 0.180
Ac 0.320 0.795 0.419
Ac 0.099 0.919 0.124
Ac 0.599 0.975 0.680
Ac 0.705 0.581 0.180
Ac 0.795 0.475 0.376
Ac 0.820 0.901 0.025
Ac 0.124 0.705 0.525
Ac 0.376 0.401 0.081
Ac 0.081 0.901 0.376
Ac 0.419 0.124 0.599
Ac 0.081 0.180 0.205
Ac 0.475 0.680 0.099
Ac 0.820 0.919 0.295
Ac 0.124 0.419 0.099
Ac 0.376 0.975 0.795
Ac 0.599 0.624 0.419
Ac 0.901 0.820 0.525
Ac 0.795 0.320 0.919
Ac 0.401 0.376 0.581
Ac 0.099 0.180 0.475
Ac 0.205 0.680 0.081
Ac 0.180 0.081 0.705
Ac 0.624 0.025 0.205
Ac 0.876 0.581 0.901
Ac 0.525 0.320 0.901
Ac 0.581 0.876 0.401
Ac 0.919 0.820 0.795
Ac 0.919 0.099 0.624
Ac 0.876 0.295 0.475
Ac 0.180 0.099 0.975
Ac 0.624 0.599 0.919
Ac 0.401 0.025 0.320
Ac 0.295 0.419 0.820
Ac 0.205 0.525 0.624
Ac 0.901 0.081 0.876
Ac 0.680 0.205 0.581
Ac 0.475 0.795 0.876
Ac 0.025 0.401 0.820
Ac 0.419 0.295 0.320
Ac 0.025 0.624 0.705
Ac 0.680 0.475 0.599
Ac 0.295 0.876 0.975

For the records above, the corresponding total DFT energy (no corrections) values read -47.42, -168.04, -71.96, -91.66, -21.25, -132.80, -48.60, -66.09, -61.55, -75.31, -28.72, -68.36, -65.31, -32.63, -145.15, -89.52, -22.80, -70.73, -42.13, -518.11 eV/cell.
For the records above, the corresponding total magnetic moment values read 0.0, 0.0, 0.0, 0.0, 0.0, 0.0, 1.2, 1.1, 2.0, 1.0, 0.0, 0.0, 0.0, 0.0, 0.0, 0.0, 0.0, 0.0, 0.0, 0.0 μB/f.u..
For the records above, the corresponding energy relative to the elements, uncorrected values read -0.30, -0.51, 0.31, -0.79, 0.52, 0.01, -0.84, -0.67, -0.17, -0.69, 0.60, -0.76, 0.36, -0.38, -0.92, -0.21, 0.00, 0.61, -0.54, -0.38 eV per atom.